No. 1
Sr2InGe: relaxed, PBE-GGA.

Cell lengths 3.9681, 3.9681, 7.8774 Å; angles 90.00, 90.00, 90.00 degrees
Closest atoms and distances in Å follow each position.
Space group P4/mmm (No. 123)
Asymmetric unit:
1 Sr 0.0000 0.0000 0.2318 x2  4 Ge 3.35, 4 In 3.51, 1 Sr 3.65
2 In 0.5000 0.5000 0.5000 x1  8 Sr 3.51
3 Ge 0.5000 0.5000 0.0000 x1  8 Sr 3.35

Output
- Total magnetic moment: 0.00 μB/atom
- Fermi-level density of states: 0.5472 states/eV/atom
- ΔE_f: -0.426 eV/atom

No. 2
SrIn2Ge2: relaxed, PBE-GGA.

Cell lengths 7.0199, 6.3612, 6.4285 Å; angles 90.00, 111.56, 90.00 degrees
Closest atoms and distances in Å follow each position.
Space group C2/m (No. 12)
Asymmetric unit:
1 Sr 0.0000 0.0000 0.0000 x2  6 Ge 3.30-3.46, 4 In 3.59
2 In 0.0000 0.2501 0.5000 x4  4 Ge 2.86-2.98, 2 In 3.18
3 Ge 0.1395 0.5000 0.2143 x4  1 Ge 2.73, 4 In 2.86-2.98

Output
- Total magnetic moment: 0.00 μB/atom
- Fermi-level density of states: 0.3705 states/eV/atom
- ΔE_f: -0.239 eV/atom

No. 3
Sr2InGe3: relaxed, PBE-GGA.

Cell lengths 7.3191, 4.5713, 19.8089 Å; angles 90.00, 90.00, 90.00 degrees
Closest atoms and distances in Å follow each position.
Space group Pnma (No. 62)
Asymmetric unit:
1 Sr 0.1682 0.2500 0.0816 x4  7 Ge 3.25-3.54, 3 In 3.57-3.60
2 Sr 0.2024 0.2500 0.3017 x4  9 Ge 3.26-3.41
3 In 0.0411 0.7500 0.4347 x4  4 Ge 2.79-2.87
4 Ge 0.0304 0.7500 0.1908 x4  2 Ge 2.53-2.54
5 Ge 0.1244 0.2500 0.6945 x4  2 Ge 2.53-2.54
6 Ge 0.2434 0.2500 0.4655 x4  3 In 2.79-2.87

Output
- Total magnetic moment: 0.00 μB/atom
- Fermi-level density of states: 0.2912 states/eV/atom
- Offset from the most stable computed form: 0 meV/atom
- ΔE_f: -0.481 eV/atom

No. 4
Sr5InGe2: relaxed, PBE-GGA.

Cell lengths 8.3482, 8.3482, 16.3356 Å; angles 90.00, 90.00, 90.00 degrees
Closest atoms and distances in Å follow each position.
Space group I4/mcm (No. 140)
Asymmetric unit:
1 Sr 0.0000 0.0000 0.0000 x4  4 Ge 3.37
2 Sr 0.1757 0.3243 0.1365 x16  3 Ge 3.32-3.35, 2 In 3.59
3 In 0.0000 0.0000 0.2500 x4  8 Sr 3.59
4 Ge 0.1121 0.3879 0.5000 x8  1 Ge 2.65

Output
- Total magnetic moment: 0.00 μB/atom
- Fermi-level density of states: 1.0295 states/eV/atom
- ΔE_f: -0.498 eV/atom

No. 5
Sr2InGe2: relaxed, PBE-GGA.

Cell lengths 3.8384, 3.8384, 20.3168 Å; angles 90.00, 90.00, 90.00 degrees
Closest atoms and distances in Å follow each position.
Space group I4/mmm (No. 139)
Asymmetric unit:
1 Sr 0.0000 0.0000 0.1144 x4  4 Ge 3.36, 4 In 3.57
2 In 0.0000 0.0000 0.5000 x2  8 Sr 3.57, 4 In 3.84
3 Ge 0.0000 0.5000 0.2500 x4  4 Ge 2.71

Output
- Total magnetic moment: 0.00 μB/atom
- Fermi-level density of states: 0.9961 states/eV/atom
- ΔE_f: -0.250 eV/atom

No. 6
Sr2In3Ge: relaxed, PBE-GGA.

Cell lengths 4.7015, 4.8048, 8.2041 Å; angles 90.00, 90.00, 90.00 degrees
Closest atoms and distances in Å follow each position.
Space group Pmm2 (No. 25)
Asymmetric unit:
1 Sr 0.0000 0.0000 0.0000 x1  2 Ge 3.51, 10 In 3.60-3.75
2 Sr 0.0000 0.5000 0.4737 x1  8 In 3.50-3.66, 4 Ge 3.60
3 In 0.5000 0.0000 0.6438 x1  1 Ge 2.68, 2 In 2.78
4 In 0.5000 0.5000 0.1576 x1  2 Ge 2.74, 1 In 2.81
5 In 0.5000 0.5000 0.8152 x1  3 In 2.78-2.81
6 Ge 0.5000 0.0000 0.3171 x1  3 In 2.68-2.74

Output
- Total magnetic moment: 0.00 μB/atom
- Fermi-level density of states: 0.4619 states/eV/atom
- Offset from the most stable computed form: 31 meV/atom
- ΔE_f: -0.392 eV/atom

No. 7
SrIn3Ge3: relaxed, PBE-GGA.

Cell lengths 7.5906, 7.5906, 7.5906 Å; angles 90.00, 90.00, 90.00 degrees
Closest atoms and distances in Å follow each position.
Space group Pm-3n (No. 223)
Asymmetric unit:
1 Sr 0.0000 0.0000 0.0000 x2  12 Ge 4.24, 12 In 4.24
2 In 0.0000 0.2500 0.5000 x6  4 Ge 2.68
3 Ge 0.0000 0.5000 0.2500 x6  4 In 2.68

Output
- Total magnetic moment: 0.00 μB/atom
- Fermi-level density of states: 0.3637 states/eV/atom
- ΔE_f: 0.040 eV/atom

No. 8
SrInTcGe2: relaxed, PBE-GGA.

Cell lengths 4.8722, 4.8722, 5.2451 Å; angles 90.00, 90.00, 90.00 degrees
Closest atoms and distances in Å follow each position.
Space group P4/mmm (No. 123)
Asymmetric unit:
1 Sr 0.0000 0.0000 0.0000 x1  4 In 3.45, 8 Ge 3.58
2 In 0.5000 0.5000 0.0000 x1  2 Tc 2.62
3 Tc 0.5000 0.5000 0.5000 x1  4 Ge 2.44, 2 In 2.62
4 Ge 0.0000 0.5000 0.5000 x2  2 Tc 2.44

Output
- Total magnetic moment: 0.00 μB/atom
- Fermi-level density of states: 0.7802 states/eV/atom
- ΔE_f: -0.099 eV/atom

No. 9
Sr2InTcGe: relaxed, PBE-GGA.

Cell lengths 5.5835, 5.5835, 5.2370 Å; angles 90.00, 90.00, 90.00 degrees
Closest atoms and distances in Å follow each position.
Space group P4/mmm (No. 123)
Asymmetric unit:
1 Sr 0.0000 0.5000 0.0000 x2  2 Tc 2.79
2 In 0.0000 0.0000 0.5000 x1  2 Tc 2.62
3 Tc 0.0000 0.0000 0.0000 x1  2 In 2.62, 4 Sr 2.79
4 Ge 0.5000 0.5000 0.5000 x1  8 Sr 3.83, 4 In 3.95

Output
- Total magnetic moment: 0.35 μB/atom
- Fermi-level density of states: 1.0856 states/eV/atom
- ΔE_f: 0.550 eV/atom

No. 10
Sr2InGeTe5: relaxed, PBE-GGA.

Cell lengths 4.4743, 20.4335, 13.3710 Å; angles 90.00, 90.00, 90.00 degrees
Closest atoms and distances in Å follow each position.
Space group Cmc2_1 (No. 36)
Asymmetric unit:
1 Sr 0.0000 0.1076 0.0000 x4  6 Te 3.34-3.54
2 Sr 0.0000 0.1242 0.6311 x4  8 Te 3.38-3.57
3 In 0.0000 0.4249 0.7755 x4  4 Te 2.79-2.89
4 Ge 0.0000 0.2309 0.3499 x4  3 Te 2.72-2.97
5 Te 0.0000 0.0524 0.3978 x4  2 In 2.81
6 Te 0.0000 0.2724 0.9960 x4  2 Ge 2.97
7 Te 0.0000 0.2944 0.6918 x4  1 In 2.89, 2 Ge 3.12
8 Te 0.0000 0.3627 0.3200 x4  1 Ge 2.72
9 Te 0.0000 0.4980 0.5997 x4  1 In 2.79

Output
- Total magnetic moment: 0.00 μB/atom
- Fermi-level density of states: 0.4114 states/eV/atom
- Uncorrected formation energy: -79.3 kJ per mole of atoms

No. 11
SrTlInGe: relaxed, PBE-GGA.

Cell lengths 7.6541, 7.6541, 7.6541 Å; angles 90.00, 90.00, 90.00 degrees
Closest atoms and distances in Å follow each position.
Space group F-43m (No. 216)
Asymmetric unit:
1 Sr 0.0000 0.0000 0.0000 x4  4 Ge 3.31, 4 Tl 3.31
2 Tl 0.2500 0.2500 0.2500 x4  4 In 3.31, 4 Sr 3.31
3 In 0.0000 0.0000 0.5000 x4  4 Ge 3.31, 4 Tl 3.31
4 Ge 0.2500 0.2500 0.7500 x4  4 In 3.31, 4 Sr 3.31

Output
- Total magnetic moment: 0.00 μB/atom
- Fermi-level density of states: 0.3875 states/eV/atom
- ΔE_f: -0.181 eV/atom

No. 12
Sr2Zn3InGe4: relaxed, PBE-GGA.

Cell lengths 4.5354, 4.5354, 10.8108 Å; angles 90.00, 90.00, 90.00 degrees
Closest atoms and distances in Å follow each position.
Space group P-4m2 (No. 115)
Asymmetric unit:
1 Sr 0.0000 0.5000 0.2380 x2  8 Ge 3.43-3.45, 6 Zn 3.44-3.63, 2 In 3.63
2 Zn 0.0000 0.5000 0.8763 x2  5 Ge 2.51-2.63
3 Zn 0.5000 0.5000 0.5000 x1  4 Ge 2.75
4 In 0.0000 0.0000 0.5000 x1  4 Ge 2.75
5 Ge 0.0000 0.0000 0.0000 x1  4 Zn 2.63
6 Ge 0.0000 0.5000 0.6443 x2  3 Zn 2.51-2.75, 2 In 2.75
7 Ge 0.5000 0.5000 0.0000 x1  4 Zn 2.63

Output
- Total magnetic moment: 0.00 μB/atom
- Fermi-level density of states: 0.2935 states/eV/atom
- ΔE_f: -0.326 eV/atom

Listing electronic total energy for the structures above in their given order: -3.1058, -3.5179, -3.8070, -3.0462, -3.3177, -3.0911, -3.3532, -4.9030, -3.6671, -3.7585, -3.0320, -3.1653 eV per atom.